Record 1
! Ca3Pd5I12 | Alexandria | PBE | relaxed; values from VASP
! Crystal system = cubic
! Space group = Ia-3d
&SYSTEM
  ibrav = 0, nat = 80, ntyp = 3
/
ATOMIC_SPECIES
Ca 40.08 Ca.upf
Pd 106.42 Pd.upf
I 126.90 I.upf
CELL_PARAMETERS angstrom
-8.799 8.799 8.799
8.799 -8.799 8.799
8.799 8.799 -8.799
ATOMIC_POSITIONS crystal
Ca 0.125 0.250 0.375
Ca 0.125 0.375 0.750
Ca 0.250 0.375 0.125
Ca 0.250 0.875 0.625
Ca 0.375 0.125 0.250
Ca 0.375 0.750 0.125
Ca 0.625 0.250 0.875
Ca 0.625 0.875 0.750
Ca 0.750 0.125 0.375
Ca 0.750 0.625 0.875
Ca 0.875 0.625 0.250
Ca 0.875 0.750 0.625
Pd 0.000 0.000 0.000
Pd 0.000 0.000 0.500
Pd 0.000 0.500 0.000
Pd 0.000 0.500 0.500
Pd 0.125 0.750 0.875
Pd 0.125 0.875 0.250
Pd 0.250 0.125 0.875
Pd 0.250 0.625 0.375
Pd 0.375 0.250 0.625
Pd 0.375 0.625 0.750
Pd 0.500 0.000 0.000
Pd 0.500 0.000 0.500
Pd 0.500 0.500 0.000
Pd 0.500 0.500 0.500
Pd 0.625 0.375 0.250
Pd 0.625 0.750 0.375
Pd 0.750 0.375 0.625
Pd 0.750 0.875 0.125
Pd 0.875 0.125 0.750
Pd 0.875 0.250 0.125
I 0.030 0.204 0.125
I 0.030 0.326 0.905
I 0.079 0.704 0.674
I 0.079 0.875 0.405
I 0.095 0.625 0.421
I 0.095 0.970 0.674
I 0.125 0.030 0.204
I 0.125 0.595 0.921
I 0.174 0.204 0.579
I 0.174 0.470 0.595
I 0.204 0.125 0.030
I 0.204 0.579 0.174
I 0.296 0.326 0.921
I 0.296 0.470 0.375
I 0.326 0.905 0.030
I 0.326 0.921 0.296
I 0.375 0.296 0.470
I 0.375 0.579 0.905
I 0.405 0.079 0.875
I 0.405 0.826 0.530
I 0.421 0.095 0.625
I 0.421 0.826 0.796
I 0.470 0.375 0.296
I 0.470 0.595 0.174
I 0.530 0.405 0.826
I 0.530 0.625 0.704
I 0.579 0.174 0.204
I 0.579 0.905 0.375
I 0.595 0.174 0.470
I 0.595 0.921 0.125
I 0.625 0.421 0.095
I 0.625 0.704 0.530
I 0.674 0.079 0.704
I 0.674 0.095 0.970
I 0.704 0.530 0.625
I 0.704 0.674 0.079
I 0.796 0.421 0.826
I 0.796 0.875 0.970
I 0.826 0.530 0.405
I 0.826 0.796 0.421
I 0.875 0.405 0.079
I 0.875 0.970 0.796
I 0.905 0.030 0.326
I 0.905 0.375 0.579
I 0.921 0.125 0.595
I 0.921 0.296 0.326
I 0.970 0.674 0.095
I 0.970 0.796 0.875

***

Record 2
! CaPdI2 | Alexandria | PBE | relaxed; values from VASP
! Crystal system = tetragonal
! Space group = I-42d
&SYSTEM
  ibrav = 0, nat = 16, ntyp = 3
/
ATOMIC_SPECIES
Ca 40.08 Ca.upf
Pd 106.42 Pd.upf
I 126.90 I.upf
CELL_PARAMETERS angstrom
6.121 0.000 0.000
0.000 6.121 0.000
0.000 0.000 15.376
ATOMIC_POSITIONS crystal
Ca 0.000 0.000 0.000
Ca 0.000 0.500 0.250
Ca 0.500 0.000 0.750
Ca 0.500 0.500 0.500
Pd 0.000 0.000 0.500
Pd 0.000 0.500 0.750
Pd 0.500 0.000 0.250
Pd 0.500 0.500 0.000
I 0.213 0.250 0.625
I 0.250 0.713 0.875
I 0.250 0.787 0.375
I 0.287 0.250 0.125
I 0.713 0.750 0.125
I 0.750 0.213 0.375
I 0.750 0.287 0.875
I 0.787 0.750 0.625

***

Record 3
! Ca3PdI | Alexandria | PBE | relaxed; values from VASP
! Crystal system = cubic
! Space group = Pm-3m
&SYSTEM
  ibrav = 0, nat = 5, ntyp = 3
/
ATOMIC_SPECIES
Ca 40.08 Ca.upf
Pd 106.42 Pd.upf
I 126.90 I.upf
CELL_PARAMETERS angstrom
5.665 0.000 0.000
0.000 5.665 0.000
0.000 0.000 5.665
ATOMIC_POSITIONS crystal
Ca 0.000 0.000 0.500
Ca 0.000 0.500 0.000
Ca 0.500 0.000 0.000
Pd 0.000 0.000 0.000
I 0.500 0.500 0.500

***

no.,E_form (uncorrected) (kJ per mole of atoms)
1,-61.21
2,-72.56
3,-54.68